A geometry-optimized InCuAu2 structure. Source: Alexandria via LeMat-Bulk, functional PBEsol.

```
InCuAu2
1.0
-1.9920 1.9975 4.1535
1.9920 -1.9975 4.1535
1.9920 1.9975 -4.1535
In Cu Au
1 1 2
Cartesian
0.0000 0.0000 0.0000
1.9920 0.0000 2.0769
0.0000 0.0000 4.1482
0.0000 1.9975 2.0739
```

Values from the calculation:
- DOS(E_F): 1.06 states/eV/f.u.
- ΔH_f (0 K): -0.105 eV per atom


A geometry-optimized InCu2Au structure. Source: Alexandria via LeMat-Bulk, functional PBEsol.

```
InCu2Au
1.0
-1.9353 1.9353 4.0190
1.9353 -1.9353 4.0190
1.9353 1.9353 -4.0190
In Cu Au
1 2 1
Cartesian
0.0000 0.0000 0.0000
1.9353 0.0000 2.0095
0.0000 0.0000 4.0190
0.0000 1.9353 2.0095
```

Values from the calculation:
- DOS(E_F): 1.16 states/eV/f.u.
- ΔH_f (0 K): -0.060 eV per atom